{"formula": "UNi3Te5", "functional": "PBE", "state": "relaxed", "e_tot_ev_per_atom": -5.03, "magnetic_moment_mub_per_cell": 4.7, "raw_formation_energy_kcal_per_mol_atoms": -2.406, "spacegroup": "C2/m, No. 12", "n_ef_per_ev_cell": 24.2, "vol_a3_per_atom": 24.72, "mass_density_g_cm3": 7.85, "lattice_angstrom": [[6.466, -4.127, 0.000], [6.466, 4.127, 0.000], [-5.089, 0.000, 8.339]], "species": ["U", "U", "Ni", "Ni", "Ni", "Ni", "Ni", "Ni", "Te", "Te", "Te", "Te", "Te", "Te", "Te", "Te", "Te", "Te"], "fractional_positions": [[0.165, 0.165, 0.363], [0.835, 0.835, 0.637], [0.000, 0.000, 0.000], [0.000, 0.000, 0.500], [0.317, 0.317, 0.878], [0.362, 0.362, 0.333], [0.638, 0.638, 0.667], [0.683, 0.683, 0.122], [0.024, 0.628, 0.345], [0.210, 0.210, 0.034], [0.302, 0.698, 0.000], [0.372, 0.976, 0.655], [0.430, 0.430, 0.638], [0.570, 0.570, 0.362], [0.628, 0.024, 0.345], [0.698, 0.302, 0.000], [0.790, 0.790, 0.966], [0.976, 0.372, 0.655]]}